# 1
# MgSnPb2Br8 | Alexandria via LeMat-Bulk | PBE | relaxed
data_MgSnPb2Br8
_symmetry_space_group_name_H-M 'P 1'
_symmetry_Int_Tables_number 1
_cell_length_a 6.7262
_cell_length_b 8.7903
_cell_length_c 7.0868
_cell_angle_alpha 90.00
_cell_angle_beta 90.44
_cell_angle_gamma 90.00
loop_
_symmetry_equiv_pos_as_xyz
'x,y,z'
loop_
_atom_site_label
_atom_site_type_symbol
_atom_site_fract_x
_atom_site_fract_y
_atom_site_fract_z
Mg1 Mg 0.0000 0.0000 0.0000
Sn1 Sn 0.0000 0.5000 0.0000
Pb1 Pb 0.5000 0.2392 0.5000
Pb2 Pb 0.5000 0.7608 0.5000
Br1 Br 0.2255 0.2271 0.1488
Br2 Br 0.2255 0.7729 0.1488
Br3 Br 0.2354 0.0000 0.6816
Br4 Br 0.2574 0.5000 0.6590
Br5 Br 0.7426 0.5000 0.3410
Br6 Br 0.7646 0.0000 0.3184
Br7 Br 0.7745 0.2271 0.8512
Br8 Br 0.7745 0.7729 0.8512
# E in Ry/atom: -0.2339
# Space-group type: P2/m

***

# 2
# MgSnPbBr6 | Alexandria via LeMat-Bulk | PBE | relaxed
data_MgSnPbBr6
_symmetry_space_group_name_H-M 'P 1'
_symmetry_Int_Tables_number 1
_cell_length_a 6.9015
_cell_length_b 6.9015
_cell_length_c 13.0726
_cell_angle_alpha 90.00
_cell_angle_beta 90.00
_cell_angle_gamma 90.00
loop_
_symmetry_equiv_pos_as_xyz
'x,y,z'
loop_
_atom_site_label
_atom_site_type_symbol
_atom_site_fract_x
_atom_site_fract_y
_atom_site_fract_z
Mg1 Mg 0.0000 0.0000 0.0000
Mg2 Mg 0.5000 0.5000 0.5000
Sn1 Sn 0.0000 0.0000 0.6660
Sn2 Sn 0.5000 0.5000 0.1660
Pb1 Pb 0.0000 0.0000 0.3340
Pb2 Pb 0.5000 0.5000 0.8340
Br1 Br 0.1862 0.1862 0.8464
Br2 Br 0.1904 0.1904 0.1506
Br3 Br 0.2181 0.2181 0.5020
Br4 Br 0.2819 0.7181 0.0020
Br5 Br 0.3096 0.6904 0.6506
Br6 Br 0.3138 0.6862 0.3464
Br7 Br 0.6862 0.3138 0.3464
Br8 Br 0.6904 0.3096 0.6506
Br9 Br 0.7181 0.2819 0.0020
Br10 Br 0.7819 0.7819 0.5020
Br11 Br 0.8096 0.8096 0.1506
Br12 Br 0.8138 0.8138 0.8464
# E in Ry/atom: -0.2322
# Space-group type: P4_2nm

***

# 3
# Sr2MgPbBr8 | Alexandria via LeMat-Bulk | PBE | relaxed
data_Sr2MgPbBr8
_symmetry_space_group_name_H-M 'P 1'
_symmetry_Int_Tables_number 1
_cell_length_a 6.7736
_cell_length_b 8.9605
_cell_length_c 7.0712
_cell_angle_alpha 90.00
_cell_angle_beta 90.14
_cell_angle_gamma 90.00
loop_
_symmetry_equiv_pos_as_xyz
'x,y,z'
loop_
_atom_site_label
_atom_site_type_symbol
_atom_site_fract_x
_atom_site_fract_y
_atom_site_fract_z
Sr1 Sr 0.0000 0.2389 0.0000
Sr2 Sr 0.0000 0.7611 0.0000
Mg1 Mg 0.5000 0.0000 0.5000
Pb1 Pb 0.5000 0.5000 0.5000
Br1 Br 0.2387 0.5000 0.1529
Br2 Br 0.2548 0.0000 0.1850
Br3 Br 0.2792 0.2243 0.6518
Br4 Br 0.2792 0.7757 0.6518
Br5 Br 0.7208 0.2243 0.3482
Br6 Br 0.7208 0.7757 0.3482
Br7 Br 0.7452 0.0000 0.8150
Br8 Br 0.7613 0.5000 0.8471
# E in Ry/atom: -0.2542
# Space-group type: P2/m

***

# 4
# SrMgPb2Br8 | Alexandria via LeMat-Bulk | PBE | relaxed
data_SrMgPb2Br8
_symmetry_space_group_name_H-M 'P 1'
_symmetry_Int_Tables_number 1
_cell_length_a 6.7375
_cell_length_b 8.9140
_cell_length_c 7.0902
_cell_angle_alpha 90.00
_cell_angle_beta 90.64
_cell_angle_gamma 90.00
loop_
_symmetry_equiv_pos_as_xyz
'x,y,z'
loop_
_atom_site_label
_atom_site_type_symbol
_atom_site_fract_x
_atom_site_fract_y
_atom_site_fract_z
Sr1 Sr 0.0000 0.0000 0.0000
Mg1 Mg 0.0000 0.5000 0.0000
Pb1 Pb 0.5000 0.2638 0.5000
Pb2 Pb 0.5000 0.7362 0.5000
Br1 Br 0.2272 0.2774 0.1484
Br2 Br 0.2272 0.7226 0.1484
Br3 Br 0.2361 0.5000 0.6805
Br4 Br 0.2620 0.0000 0.6516
Br5 Br 0.7380 0.0000 0.3484
Br6 Br 0.7639 0.5000 0.3195
Br7 Br 0.7728 0.2774 0.8516
Br8 Br 0.7728 0.7226 0.8516
# E in Ry/atom: -0.2445
# Space-group type: P2/m

***

# 5
# MgTa2PbBr | Alexandria via LeMat-Bulk | PBE | relaxed
data_MgTa2PbBr
_symmetry_space_group_name_H-M 'P 1'
_symmetry_Int_Tables_number 1
_cell_length_a 5.4143
_cell_length_b 5.4143
_cell_length_c 5.4085
_cell_angle_alpha 90.00
_cell_angle_beta 90.00
_cell_angle_gamma 90.00
loop_
_symmetry_equiv_pos_as_xyz
'x,y,z'
loop_
_atom_site_label
_atom_site_type_symbol
_atom_site_fract_x
_atom_site_fract_y
_atom_site_fract_z
Mg1 Mg 0.0000 0.0000 0.0000
Ta1 Ta 0.0000 0.5000 0.5000
Ta2 Ta 0.5000 0.0000 0.5000
Pb1 Pb 0.0000 0.0000 0.5000
Br1 Br 0.5000 0.5000 0.0000
# E in Ry/atom: -0.3175
# Space-group type: P4/mmm

***

# 6
# Mg2PdBr | Alexandria via LeMat-Bulk | PBE | relaxed
data_Mg2PdBr
_symmetry_space_group_name_H-M 'P 1'
_symmetry_Int_Tables_number 1
_cell_length_a 4.8620
_cell_length_b 4.8620
_cell_length_c 4.8620
_cell_angle_alpha 60.00
_cell_angle_beta 60.00
_cell_angle_gamma 60.00
loop_
_symmetry_equiv_pos_as_xyz
'x,y,z'
loop_
_atom_site_label
_atom_site_type_symbol
_atom_site_fract_x
_atom_site_fract_y
_atom_site_fract_z
Mg1 Mg 0.2500 0.2500 0.2500
Mg2 Mg 0.7500 0.7500 0.7500
Pd1 Pd 0.0000 0.0000 0.0000
Br1 Br 0.5000 0.5000 0.5000
# E in Ry/atom: -0.2028
# Excess energy over the best structure of this formula in the dataset in meV per atom: 133
# Space-group type: Fm-3m

***

V for every record listed, in sequence, given in Å³/f.u.: 419, 311, 429, 426, 159, 81.
Formation energy (no corrections) for every record listed, in sequence, given in eV per atom: -0.982, -1.010, -1.621, -1.320, 1.817, -0.245.
Magnetization for every record listed, in sequence, given in μB per cell: 0.0, 0.0, 0.0, 0.0, 5.4, 0.0.